Record 1
Compound: TbYMgAu
Source: Alexandria via LeMat-Bulk
Functional: PBE-GGA
Structure: relaxed Values from VASP.

energy relative to the lowest polymorph listed for this composition = 0.0581 eV/atom
ΔE_f = -161 kJ/mol of formula units
calculated volume = 100 Å³ per cell
Fermi-level density of states = 3.18 states/eV/f.u.

```
&SYSTEM
  ibrav = 0, nat = 4, ntyp = 4
/
ATOMIC_SPECIES
Tb 158.93 Tb.upf
Y 88.91 Y.upf
Mg 24.30 Mg.upf
Au 196.97 Au.upf
ATOMIC_POSITIONS crystal
Tb 0.000 0.000 0.000
Y 0.500 0.500 0.500
Mg 0.750 0.750 0.750
Au 0.250 0.250 0.250
CELL_PARAMETERS angstrom
0.000 3.685 3.685
3.685 0.000 3.685
3.685 3.685 0.000
```

***

Record 2
Compound: HPtPb2Au
Source: Alexandria via LeMat-Bulk
Functional: PBE-GGA
Structure: relaxed Values from VASP.

energy relative to the lowest polymorph listed for this composition = 0.0000 eV/atom
calculated volume = 98 Å³ per cell
Fermi-level density of states = 1.95 states/eV/f.u.

```
&SYSTEM
  ibrav = 0, nat = 5, ntyp = 4
/
ATOMIC_SPECIES
H 1.01 H.upf
Pt 195.08 Pt.upf
Pb 207.20 Pb.upf
Au 196.97 Au.upf
ATOMIC_POSITIONS crystal
H 0.000 0.000 0.000
Pt 0.000 0.000 0.500
Pb 0.000 0.500 0.000
Pb 0.500 0.000 0.000
Au 0.500 0.500 0.500
CELL_PARAMETERS angstrom
5.299 0.000 0.000
0.000 5.299 0.000
0.000 0.000 3.502
```

***

Record 3
Compound: LiPmCoSb
Source: Alexandria via LeMat-Bulk
Functional: PBE-GGA
Structure: relaxed Values from VASP.

calculated volume = 72 Å³ per cell
formation energy without anion corrections = -190.1 kJ/mol of formula units

```
&SYSTEM
  ibrav = 0, nat = 4, ntyp = 4
/
ATOMIC_SPECIES
Li 6.94 Li.upf
Pm 145.00 Pm.upf
Co 58.93 Co.upf
Sb 121.76 Sb.upf
ATOMIC_POSITIONS crystal
Li 0.000 0.000 0.000
Pm 0.750 0.750 0.750
Co 0.500 0.500 0.500
Sb 0.250 0.250 0.250
CELL_PARAMETERS angstrom
0.000 3.296 3.296
3.296 0.000 3.296
3.296 3.296 0.000
```

***

Record 4
Compound: CeGa2I6
Source: Alexandria via LeMat-Bulk
Functional: PBE-GGA
Structure: relaxed Values from VASP.

energy relative to the lowest polymorph listed for this composition = 0.0000 eV/atom
calculated volume = 794 Å³ per cell
formation energy without anion corrections = -692.5 kJ/mol of formula units
Fermi-level density of states = 0.04 states/eV/f.u.

```
&SYSTEM
  ibrav = 0, nat = 18, ntyp = 3
/
ATOMIC_SPECIES
Ce 140.12 Ce.upf
Ga 69.72 Ga.upf
I 126.90 I.upf
ATOMIC_POSITIONS crystal
Ce 0.000 0.000 0.000
Ce 0.000 0.500 0.500
Ga 0.337 0.115 0.821
Ga 0.337 0.385 0.321
Ga 0.663 0.615 0.679
Ga 0.663 0.885 0.179
I 0.081 0.052 0.237
I 0.081 0.448 0.737
I 0.250 0.703 0.081
I 0.250 0.797 0.581
I 0.371 0.186 0.053
I 0.371 0.314 0.553
I 0.629 0.686 0.447
I 0.629 0.814 0.947
I 0.750 0.203 0.419
I 0.750 0.297 0.919
I 0.919 0.552 0.263
I 0.919 0.948 0.763
CELL_PARAMETERS angstrom
7.950 0.000 0.000
0.000 8.440 0.000
-7.251 0.000 11.827
```

***

Record 5
Compound: LiHfH3
Source: Alexandria via LeMat-Bulk
Functional: PBE-GGA
Structure: relaxed Values from VASP.

energy relative to the lowest polymorph listed for this composition = 0.3689 eV/atom
calculated volume = 38 Å³ per cell
Fermi-level density of states = 2.16 states/eV/f.u.

```
&SYSTEM
  ibrav = 0, nat = 5, ntyp = 3
/
ATOMIC_SPECIES
Li 6.94 Li.upf
Hf 178.49 Hf.upf
H 1.01 H.upf
ATOMIC_POSITIONS crystal
Li 0.000 0.000 0.000
Hf 0.500 0.500 0.500
H 0.000 0.000 0.500
H 0.000 0.500 0.000
H 0.500 0.000 0.000
CELL_PARAMETERS angstrom
3.360 0.000 0.000
0.000 3.360 0.000
0.000 0.000 3.360
```

***

Record 6
Compound: KLi2PRh
Source: Alexandria via LeMat-Bulk
Functional: PBE-GGA
Structure: relaxed Values from VASP.

ΔE_f = -173 kJ/mol of formula units
calculated volume = 108 Å³ per cell
Fermi-level density of states = 1.38 states/eV/f.u.

```
&SYSTEM
  ibrav = 0, nat = 5, ntyp = 4
/
ATOMIC_SPECIES
K 39.10 K.upf
Li 6.94 Li.upf
P 30.97 P.upf
Rh 102.91 Rh.upf
ATOMIC_POSITIONS crystal
K 0.000 0.000 0.000
Li 0.000 0.500 0.500
Li 0.500 0.000 0.500
P 0.500 0.500 0.000
Rh 0.500 0.500 0.500
CELL_PARAMETERS angstrom
4.945 0.000 0.000
0.000 4.945 0.000
0.000 0.000 4.430
```

***

Record 7
Compound: HfPCO2
Source: Alexandria via LeMat-Bulk
Functional: PBE-GGA
Structure: relaxed Values from VASP.

energy relative to the lowest polymorph listed for this composition = 0.0683 eV/atom
calculated volume = 53 Å³ per cell
formation energy without anion corrections = 19.6 kJ/mol of formula units
Fermi-level density of states = 1.99 states/eV/f.u.

```
&SYSTEM
  ibrav = 0, nat = 5, ntyp = 4
/
ATOMIC_SPECIES
Hf 178.49 Hf.upf
P 30.97 P.upf
C 12.01 C.upf
O 16.00 O.upf
ATOMIC_POSITIONS crystal
Hf 0.000 0.000 0.000
P 0.500 0.500 0.000
C 0.500 0.500 0.500
O 0.000 0.500 0.500
O 0.500 0.000 0.500
CELL_PARAMETERS angstrom
3.729 0.000 0.000
0.000 3.729 0.000
0.000 0.000 3.846
```

***

Record 8
Compound: Sm8GaIr2
Source: Alexandria via LeMat-Bulk
Functional: PBE-GGA
Structure: relaxed Values from VASP.

ΔE_f = -360 kJ/mol of formula units
calculated volume = 320 Å³ per cell
Fermi-level density of states = 12.01 states/eV/f.u.

```
&SYSTEM
  ibrav = 0, nat = 11, ntyp = 3
/
ATOMIC_SPECIES
Sm 150.36 Sm.upf
Ga 69.72 Ga.upf
Ir 192.22 Ir.upf
ATOMIC_POSITIONS crystal
Sm 0.000 0.000 0.000
Sm 0.049 0.311 0.606
Sm 0.141 0.620 0.208
Sm 0.311 0.049 0.606
Sm 0.448 0.713 0.823
Sm 0.620 0.141 0.208
Sm 0.713 0.448 0.823
Sm 0.742 0.742 0.406
Ga 0.375 0.375 0.131
Ir 0.067 0.692 0.706
Ir 0.692 0.067 0.706
CELL_PARAMETERS angstrom
4.311 -6.520 0.000
4.311 6.520 0.000
-1.312 0.000 5.692
```

***

Record 9
Compound: CoTcAsSe2
Source: Alexandria via LeMat-Bulk
Functional: PBE-GGA
Structure: relaxed Values from VASP.

energy relative to the lowest polymorph listed for this composition = 0.0000 eV/atom
calculated volume = 97 Å³ per cell
formation energy without anion corrections = 383.4 kJ/mol of formula units
Fermi-level density of states = 3.54 states/eV/f.u.

```
&SYSTEM
  ibrav = 0, nat = 5, ntyp = 4
/
ATOMIC_SPECIES
Co 58.93 Co.upf
Tc 98.00 Tc.upf
As 74.92 As.upf
Se 78.96 Se.upf
ATOMIC_POSITIONS crystal
Co 0.000 0.000 0.000
Tc 0.500 0.500 0.500
As 0.000 0.000 0.500
Se 0.000 0.500 0.000
Se 0.500 0.000 0.000
CELL_PARAMETERS angstrom
4.694 0.000 0.000
0.000 4.694 0.000
0.000 0.000 4.405
```

***

Record 10
Compound: Pr6ErHg5
Source: Alexandria via LeMat-Bulk
Functional: PBE-GGA
Structure: relaxed Values from VASP.

ΔE_f = -406 kJ/mol of formula units
calculated volume = 353 Å³ per cell
Fermi-level density of states = 15.82 states/eV/f.u.

```
&SYSTEM
  ibrav = 0, nat = 12, ntyp = 3
/
ATOMIC_SPECIES
Pr 140.91 Pr.upf
Er 167.26 Er.upf
Hg 200.59 Hg.upf
ATOMIC_POSITIONS crystal
Pr 0.073 0.328 0.745
Pr 0.230 0.000 0.230
Pr 0.417 0.672 0.745
Pr 0.583 0.328 0.255
Pr 0.770 0.000 0.770
Pr 0.927 0.672 0.255
Er 0.500 0.500 0.000
Hg 0.000 0.500 0.500
Hg 0.169 0.169 0.000
Hg 0.351 0.851 0.500
Hg 0.649 0.149 0.500
Hg 0.831 0.831 0.000
CELL_PARAMETERS angstrom
-2.712 3.933 8.273
2.712 -3.933 8.273
2.712 3.933 -8.273
```

***

Record 11
Compound: BiH2F5
Source: Alexandria via LeMat-Bulk
Functional: PBE-GGA
Structure: relaxed Values from VASP.

total DFT energy (no corrections) = -4.488 eV per atom
calculated volume = 100 Å³ per cell
Fermi-level density of states = 0.00 states/eV/f.u.

```
&SYSTEM
  ibrav = 0, nat = 8, ntyp = 3
/
ATOMIC_SPECIES
Bi 208.98 Bi.upf
H 1.01 H.upf
F 19.00 F.upf
ATOMIC_POSITIONS crystal
Bi 0.000 0.000 0.000
H 0.786 0.599 0.675
H 0.846 0.256 0.458
F 0.257 0.448 0.978
F 0.503 0.835 0.162
F 0.632 0.855 0.749
F 0.744 0.197 0.341
F 0.947 0.335 0.618
CELL_PARAMETERS angstrom
3.792 0.000 0.000
1.805 4.085 0.000
1.427 0.050 6.438
```

***

Record 12
Compound: CaPrCd2
Source: Alexandria via LeMat-Bulk
Functional: PBE-GGA
Structure: relaxed Values from VASP.

energy relative to the lowest polymorph listed for this composition = 0.0131 eV/atom
ΔE_f = -138 kJ/mol of formula units
calculated volume = 115 Å³ per cell
Fermi-level density of states = 2.27 states/eV/f.u.

```
&SYSTEM
  ibrav = 0, nat = 4, ntyp = 3
/
ATOMIC_SPECIES
Ca 40.08 Ca.upf
Pr 140.91 Pr.upf
Cd 112.41 Cd.upf
ATOMIC_POSITIONS crystal
Ca 0.000 0.000 0.000
Pr 0.500 0.500 0.000
Cd 0.000 0.500 0.500
Cd 0.500 0.000 0.500
CELL_PARAMETERS angstrom
5.466 0.000 0.000
0.000 5.466 0.000
0.000 0.000 3.862
```

***

Question: What is the formula in the eleventh record?
Answer: BiH2F5

***

Question: Which formula does entry 10 have?
Answer: Pr6ErHg5

***

Question: What is the calculated volume in the sixth record?
Answer: 108 Å³ per cell

***

Question: calculated volume of number 12 (CaPrCd2)?
Answer: 115 Å³ per cell